(1)
First-principles (PBE) data for a geometry-optimized Li12Ag3Pt structure, as listed in Alexandria.

a = 4.022 Å, b = 4.022 Å, c = 15.895 Å
α = 90.00°, β = 90.00°, γ = 90.00°
Space group P4/mmm (No. 123)
Unique sites:
Li1 0.000 0.000 0.000 x1
Li2 0.000 0.000 0.243 x2
Li3 0.000 0.000 0.500 x1
Li4 0.000 0.500 0.111 x4
Li5 0.000 0.500 0.371 x4
Ag1 0.500 0.500 0.241 x2
Ag2 0.500 0.500 0.500 x1
Pt1 0.500 0.500 0.000 x1

**Uncorrected energy**: -2.55 eV/atom
**Size of the total moment**: 0.0 μB/f.u.

***

(2)
First-principles (PBE) data for a geometry-optimized Li6Ag2Pt structure, as listed in Alexandria.

a = 7.5480 Å, b = 7.5480 Å, c = 2.7720 Å
α = 90.00°, β = 90.00°, γ = 120.00°
Space group P6/mmm (No. 191)
Unique sites:
Li1 0.0000 0.3238 0.0000 x6
Ag1 0.3333 0.6667 0.5000 x2
Pt1 0.0000 0.0000 0.5000 x1

**Excess energy over the best structure of this formula in the dataset**: 0.0 meV per atom
**Size of the total moment**: 0.0 μB/f.u.

***

(3)
First-principles (PBE) data for a geometry-optimized Li2AgPt structure, as listed in Alexandria.

a = 6.286 Å, b = 6.286 Å, c = 6.286 Å
α = 90.00°, β = 90.00°, γ = 90.00°
Space group F-43m (No. 216)
Unique sites:
Li1 0.000 0.000 0.000 x4
Li2 0.250 0.250 0.250 x4
Ag1 0.000 0.000 0.500 x4
Pt1 0.250 0.250 0.750 x4

**Uncorrected energy**: -3.51 eV/atom
**Size of the total moment**: 0.0 μB/f.u.